Record 1
Below is a relaxed Hf6NbIn crystal, with properties calculated at the PBE level.

Summary:
For the energy above the lowest structure with this stoichiometry, the calculation gives 0 meV per atom. As for the formation energy: 2.50 kJ/mol of atoms. For the density of states at the Fermi level, the calculation gives 10.04 states/eV/f.u. Its volume is 21.60 A^3/atom.

```
data_Hf6NbIn
_chemical_formula_sum 'Hf6 Nb1 In1'
_cell_length_a 7.878
_cell_length_b 7.877
_cell_length_c 5.572
_cell_angle_alpha 44.95
_cell_angle_beta 45.03
_cell_angle_gamma 60.00
_space_group_name_H-M_alt 'P 1'
_space_group_IT_number 1
_space_group_name_Hall 'P 1'
loop_
_atom_site_label
_atom_site_fract_x
_atom_site_fract_y
_atom_site_fract_z
Hf1 0.500 0.753 0.747
Hf2 0.247 0.000 0.256
Hf3 0.500 0.247 0.253
Hf4 0.999 0.502 0.746
Hf5 0.001 0.498 0.254
Hf6 0.753 0.000 0.744
In1 0.500 0.500 0.500
Nb1 0.000 0.000 0.000
```


Record 2
Below is a relaxed Hf6NbIn5 crystal, with properties calculated at the PBE level.

Summary:
For the energy above the lowest structure with this stoichiometry, the calculation gives 0 meV per atom. As for the formation energy: -13.00 kJ/mol of atoms. For the density of states at the Fermi level, the calculation gives 9.03 states/eV/f.u. Its volume is 21.45 A^3/atom.

```
data_Hf6NbIn5
_chemical_formula_sum 'Hf6 Nb1 In5'
_cell_length_a 4.380
_cell_length_b 8.636
_cell_length_c 7.151
_cell_angle_alpha 90.00
_cell_angle_beta 72.13
_cell_angle_gamma 90.00
_space_group_name_H-M_alt 'P 1'
_space_group_IT_number 1
_space_group_name_Hall 'P 1'
loop_
_atom_site_label
_atom_site_fract_x
_atom_site_fract_y
_atom_site_fract_z
Hf1 0.835 0.758 0.329
Hf2 0.835 0.242 0.329
Hf3 0.500 0.764 0.000
Hf4 0.500 0.236 0.000
Hf5 0.165 0.758 0.671
Hf6 0.165 0.242 0.671
In1 0.337 0.000 0.327
In2 0.663 0.000 0.673
In3 0.667 0.500 0.666
In4 0.000 0.500 0.000
In5 0.333 0.500 0.334
Nb1 0.000 0.000 0.000
```